(1)
This record from Alexandria describes a relaxed UMnPd4 crystal. The functional is GGA-PBE.

Its space group is Cmmm, No. 65.

Cell lengths 4.668, 5.365, 5.365 Å; angles 91.41, 90.00, 90.00 degrees
Site moments in Bohr magnetons follow the coordinates.
Element x y z (fractional)
U 0.000 0.500 0.500  -1.73
Mn 0.500 0.000 0.000  3.93
Pd 0.500 0.320 0.680  0.10
Pd 0.000 0.827 0.826  0.09
Pd 0.000 0.173 0.174  0.09
Pd 0.500 0.680 0.320  0.10

***

(2)
This record from Alexandria describes a relaxed Mn3VPd12 crystal. The functional is GGA-PBE.

Its space group is P4/mmm, No. 123.

Cell lengths 3.917, 3.917, 15.645 Å; angles 90.00, 90.00, 90.00 degrees
Site moments in Bohr magnetons follow the coordinates.
Element x y z (fractional)
Mn 0.000 0.000 0.251  3.92
Mn 0.000 0.000 0.500  3.85
Mn 0.000 0.000 0.749  3.92
V 0.000 0.000 0.000  -0.33
Pd 0.500 0.500 0.000  0.04
Pd 0.500 0.500 0.248  0.12
Pd 0.500 0.500 0.500  0.21
Pd 0.500 0.500 0.752  0.12
Pd 0.500 0.000 0.120  0.06
Pd 0.500 0.000 0.374  0.16
Pd 0.500 0.000 0.626  0.16
Pd 0.500 0.000 0.880  0.06
Pd 0.000 0.500 0.120  0.06
Pd 0.000 0.500 0.374  0.16
Pd 0.000 0.500 0.626  0.16
Pd 0.000 0.500 0.880  0.06

***

(3)
This record from Alexandria describes a relaxed MnV2Pd crystal. The functional is GGA-PBE.

Its space group is I-42d, No. 122.

Cell lengths 6.650, 6.650, 5.366 Å; angles 51.71, 51.71, 90.00 degrees
Site moments in Bohr magnetons follow the coordinates.
Element x y z (fractional)
Mn 0.500 0.500 0.000  1.48
Mn 0.250 0.750 0.500  1.48
Pd 0.000 0.000 0.000  0.02
Pd 0.750 0.250 0.500  0.02
V 0.603 0.125 0.250  -0.54
V 0.147 0.625 0.250  -0.54
V 0.375 0.397 0.750  -0.54
V 0.875 0.853 0.750  -0.54

***

(4)
This record from Alexandria describes a relaxed MnV2Pd crystal. The functional is GGA-PBE.

Its space group is P4/mmm, No. 123.

Cell lengths 3.961, 3.710, 3.710 Å; angles 90.00, 90.00, 90.00 degrees
Site moments in Bohr magnetons follow the coordinates.
Element x y z (fractional)
Mn 0.500 0.000 0.000  2.52
Pd 0.500 0.500 0.500  0.02
V 0.000 0.000 0.500  -0.42
V 0.000 0.500 0.000  -0.42

***

(5)
This record from Alexandria describes a relaxed Mn5V2Pd12 crystal. The functional is GGA-PBE.

Its space group is C2/m, No. 12.

Cell lengths 7.492, 7.195, 6.426 Å; angles 90.00, 90.00, 121.38 degrees
Site moments in Bohr magnetons follow the coordinates.
Element x y z (fractional)
Mn 0.239 0.478 0.573  3.85
Mn 0.304 0.608 0.018  3.85
Mn 0.000 0.000 0.500  4.07
Mn 0.696 0.392 0.982  3.85
Mn 0.761 0.522 0.427  3.85
V 0.698 0.000 0.000  -1.35
V 0.302 0.000 0.000  -1.35
Pd 0.905 0.810 0.111  0.16
Pd 0.030 0.691 0.757  0.14
Pd 0.661 0.691 0.757  0.14
Pd 0.176 0.753 0.341  0.17
Pd 0.577 0.753 0.341  0.17
Pd 0.443 0.886 0.691  0.09
Pd 0.557 0.114 0.309  0.09
Pd 0.824 0.247 0.659  0.17
Pd 0.423 0.247 0.659  0.17
Pd 0.970 0.309 0.243  0.14
Pd 0.339 0.309 0.243  0.14
Pd 0.095 0.190 0.889  0.16

***

(6)
This record from Alexandria describes a relaxed MnV3Pd12 crystal. The functional is GGA-PBE.

Its space group is P4/mmm, No. 123.

Cell lengths 3.901, 3.901, 15.643 Å; angles 90.00, 90.00, 90.00 degrees
Site moments in Bohr magnetons follow the coordinates.
Element x y z (fractional)
Mn 0.000 0.000 0.000  3.98
V 0.000 0.000 0.246  0.94
V 0.000 0.000 0.500  1.22
V 0.000 0.000 0.754  0.94
Pd 0.500 0.500 0.000  0.10
Pd 0.500 0.500 0.253  -0.06
Pd 0.500 0.500 0.500  -0.07
Pd 0.500 0.500 0.747  -0.06
Pd 0.500 0.000 0.129  0.01
Pd 0.500 0.000 0.376  -0.07
Pd 0.500 0.000 0.624  -0.07
Pd 0.500 0.000 0.871  0.01
Pd 0.000 0.500 0.129  0.01
Pd 0.000 0.500 0.376  -0.07
Pd 0.000 0.500 0.624  -0.07
Pd 0.000 0.500 0.871  0.01

***

(7)
This record from Alexandria describes a relaxed MnVPd6 crystal. The functional is GGA-PBE.

Its space group is P4/mmm, No. 123.

Cell lengths 3.909, 3.909, 7.802 Å; angles 90.00, 90.00, 90.00 degrees
Site moments in Bohr magnetons follow the coordinates.
Element x y z (fractional)
Mn 0.000 0.000 0.000  3.98
V 0.000 0.000 0.500  0.34
Pd 0.500 0.500 0.000  0.12
Pd 0.500 0.500 0.500  0.01
Pd 0.500 0.000 0.257  0.04
Pd 0.500 0.000 0.743  0.04
Pd 0.000 0.500 0.257  0.04
Pd 0.000 0.500 0.743  0.04

***

(8)
This record from Alexandria describes a relaxed Mn4V5Pd crystal. The functional is GGA-PBE.

Its space group is P4/mmm, No. 123.

Cell lengths 2.848, 2.848, 15.324 Å; angles 90.00, 90.00, 90.00 degrees
Element x y z (fractional)
Mn 0.000 0.000 0.218
Mn 0.000 0.000 0.406
Mn 0.000 0.000 0.594
Mn 0.000 0.000 0.782
V 0.500 0.500 0.124
V 0.500 0.500 0.312
V 0.500 0.500 0.500
V 0.500 0.500 0.688
V 0.500 0.500 0.876
Pd 0.000 0.000 0.000

***

What formation enthalpy at 0 K values result from the calculations? In sequence: 0.4777 -0.2374 0.3890 -0.0324 -0.1188 -0.2422 -0.2591 -0.2295 eV per atom.
What calculated volume values result from the calculations? In sequence: 134.3 240.0 114.3 54.5 295.7 238.0 119.2 124.3 Å³/cell.